## PaCoNO (GGA+U)

Data for a relaxed PaCoNO crystal.

## Properties
The calculation puts the calculated density at 9.651 Mg/m³. As for the magnetic moment: 0.417 μB per atom. As for the total energy: -7.76 eV per atom.

Unit cell a=3.4367 b=5.5511 c=5.7716 alpha=90.00 beta=90.00 gamma=90.00
With the nearest neighbours (Å) after each atom.
Space group Pmc2_1 (No. 26)
Symmetry-distinct sites (fractional):
Pa  0.0000  0.2032  0.0000 [2 per cell]  2 O 2.26-2.28, 2 N 2.39
Co  0.5000  0.2579  0.5222 [2 per cell]  2 N 1.94-2.17, 2 O 2.15
N  0.5000  0.0534  0.2497 [2 per cell]  2 Co 1.94-2.17
O  0.0000  0.4315  0.6721 [2 per cell]  2 Co 2.15, 2 Pa 2.26-2.28